## SrIrPt2 (GGA-PBE)

Data for an optimized crystal structure of SrIrPt2.

a = 9.5456 Å, b = 2.9803 Å, c = 5.6076 Å
α = 90.00°, β = 100.68°, γ = 90.00°
Space group Cm (No. 8)
Asymmetric unit:
Sr: 0.0000 0.0000 0.0000
Ir: 0.2610 0.5000 0.3434
Pt: 0.2370 0.0000 0.7183
Pt: 0.4956 0.0000 0.4767

Energy of formation from the pure elements (eV/atom): -0.018
Excess energy over the best structure of this formula in the dataset (eV/atom): 0.078



## ThCd2Pd4 (GGA-PBE)

Data for an optimized crystal structure of ThCd2Pd4.

a = 5.7838 Å, b = 9.9605 Å, c = 4.9884 Å
α = 90.00°, β = 90.00°, γ = 90.00°
Space group Cmmm (No. 65)
Asymmetric unit:
Th: 0.0000 0.0000 0.0000
Cd: 0.0000 0.2543 0.5000
Pd: 0.2424 0.5000 0.5000
Pd: 0.2500 0.2500 0.0000

Energy of formation from the pure elements (eV/atom): -0.458



## K3CaSi (GGA-PBE)

Data for an optimized crystal structure of K3CaSi.

a = 6.5392 Å, b = 6.5392 Å, c = 6.5392 Å
α = 90.00°, β = 90.00°, γ = 90.00°
Space group Pm-3m (No. 221)
Asymmetric unit:
K: 0.0000 0.0000 0.5000
Ca: 0.5000 0.5000 0.5000
Si: 0.0000 0.0000 0.0000

Excess energy over the best structure of this formula in the dataset (eV/atom): 0.000
Formation energy (no corrections) (eV per atom): 0.437



## La6MgIn2 (GGA-PBE)

Data for an optimized crystal structure of La6MgIn2.

a = 6.4554 Å, b = 9.1426 Å, c = 11.3847 Å
α = 90.00°, β = 116.23°, γ = 90.00°
Space group P2_1/c (No. 14)
Asymmetric unit:
La: 0.0719 0.0579 0.2099
La: 0.1424 0.7073 0.0678
La: 0.4262 0.1474 0.0467
Mg: 0.5000 0.0000 0.5000
In: 0.3376 0.1124 0.7305

Energy of formation from the pure elements (eV/atom): -0.161
Excess energy over the best structure of this formula in the dataset (eV/atom): 0.000



What are the volume values for these records? In order: 19.60; 20.53; 55.92; 33.49 A^3/atom.